Entry 1:
The following is a PBE calculation of AcSnBiAu after structural relaxation, from Alexandria.

The space group is F-43m (No. 216) and the conventional cell measures 7.7860, 7.7860 and 7.7860 Å, with angles of 90.00, 90.00 and 90.00 degrees. The asymmetric unit holds Ac at (0.0000, 0.0000, 0.0000), Sn at (0.2500, 0.2500, 0.7500), Bi at (0.0000, 0.0000, 0.5000) and Au at (0.2500, 0.2500, 0.2500).

***

Entry 2:
The following is a PBE calculation of Rb2Ga3Sn5 after structural relaxation, from Alexandria.

As for the distance to the lowest polymorph of the same formula: 0 meV per atom.

The space group is Ibam (No. 72) and the conventional cell measures 11.2774, 14.5929 and 7.2422 Å, with angles of 90.00, 90.00 and 90.00 degrees. The asymmetric unit holds Rb at (0.2440, 0.1253, 0.0000), Ga at (0.0000, 0.0000, 0.2500), Ga at (0.1257, 0.3784, 0.0000), Sn at (0.0000, 0.2576, 0.2500), Sn at (0.0000, 0.5000, 0.2500) and Sn at (0.1269, 0.1184, 0.5000).

***

Entry 3:
The following is a PBE calculation of K8Rb2HgAu after structural relaxation, from Alexandria.

The space group is P-1 (No. 2) and the conventional cell measures 7.4348, 9.5799 and 11.6901 Å, with angles of 90.12, 98.20 and 90.04 degrees. The asymmetric unit holds K at (0.0635, 0.0005, 0.3387), K at (0.0921, 0.5006, 0.3506), K at (0.4341, 0.2633, 0.7039), K at (0.4340, 0.7373, 0.7040), Rb at (0.0008, 0.2543, 0.0000), Hg at (0.5000, 0.0000, 0.5000) and Au at (0.5000, 0.5000, 0.5000).

***

Entry 4:
The following is a PBE calculation of TbBeIr after structural relaxation, from Alexandria.

As for the distance to the lowest polymorph of the same formula: 105 meV per atom.

The space group is Imma (No. 74) and the conventional cell measures 5.0801, 5.5663 and 6.9541 Å, with angles of 90.00, 90.00 and 90.00 degrees. The asymmetric unit holds Tb at (0.0000, 0.2500, 0.1260), Be at (0.2500, 0.2500, 0.7500) and Ir at (0.0000, 0.0000, 0.5000).

***

| no. | size of the total moment (Bohr magnetons per cell) | formation enthalpy at 0 K (kJ/mol of formula units) |
| --- | --- | --- |
| 1 | 0.0 | -164 |
| 2 | 0.0 | -144 |
| 3 | 0.0 | -41 |
| 4 | 0.0 | -160 |